1.
## NaLi8Ag2 (GGA-PBE)

Data for a relaxed NaLi8Ag2 crystal.

POSCAR file:
```
NaLi8Ag2
1.0
4.185 0.000 -1.274
-1.163 6.727 -3.820
0.088 -0.103 7.800
Ag Li Na
2 8 1
direct
0.203 0.703 0.405
0.797 0.297 0.595
0.000 0.672 0.000
0.842 0.842 0.685
0.158 0.158 0.315
0.666 0.875 0.332
0.000 0.328 0.000
0.334 0.543 0.668
0.666 0.457 0.332
0.334 0.125 0.668
0.500 0.000 0.000
```

Properties
ΔE_f: -0.05 eV per atom
Energy relative to the lowest polymorph listed for this composition: 0.000 eV per atom

2.
## Ba4TlRu (GGA-PBE)

Data for a relaxed Ba4TlRu crystal.

POSCAR file:
```
Ba4TlRu
1.0
0.000 4.959 4.959
4.959 0.000 4.959
4.959 4.959 0.000
Ba Ru Tl
4 1 1
direct
0.874 0.375 0.375
0.375 0.375 0.874
0.375 0.375 0.375
0.375 0.874 0.375
0.750 0.750 0.750
0.000 0.000 0.000
```

Properties
ΔE_f: 0.90 eV per atom

3.
## NbPtO3 (GGA-PBE)

Data for a relaxed NbPtO3 crystal.

POSCAR file:
```
NbPtO3
1.0
-1.184 -0.571 -3.747
-0.178 -3.913 0.653
-3.786 0.362 1.141
O Nb Pt
3 1 1
direct
0.000 0.500 0.000
0.000 0.000 0.500
0.500 0.000 0.000
0.500 0.500 0.500
0.000 0.000 0.000
```

Properties
Formation energy from raw total energies: 0.05 eV/atom

no.,N(E_F) (states/eV/atom)
1,0.4289
2,1.7794
3,0.8638